No. 1
A plane-wave DFT calculation with GGA-PBEsol was carried out for a geometry-optimized MgSi4NiO10 structure.

Lattice parameters (Å, degrees): 7.086 7.086 14.736 90.00 90.00 90.00
Last column: magnetic moment on the atom in μB.
Positions (direct):
1 Ni 0.500 0.000 0.074  0.12
2 Ni 0.500 0.000 0.574  0.12
3 Ni 0.000 0.500 0.926  0.12
4 Ni 0.000 0.500 0.426  0.12
5 O 0.419 0.750 0.574  0.00
6 O 0.294 0.706 0.750  0.00
7 O 0.419 0.250 0.074  0.00
8 O 0.750 0.581 0.426  0.00
9 O 0.081 0.750 0.426  0.00
10 O 0.250 0.919 0.074  0.00
11 O 0.250 0.581 0.926  0.00
12 O 0.738 0.452 0.120  0.00
13 O 0.206 0.794 0.250  0.00
14 O 0.250 0.081 0.574  0.00
15 O 0.919 0.250 0.426  0.00
16 O 0.581 0.250 0.574  0.00
17 O 0.048 0.762 0.620  0.00
18 O 0.250 0.419 0.426  0.00
19 O 0.706 0.706 0.250  0.00
20 O 0.762 0.048 0.880  0.00
21 O 0.706 0.294 0.750  0.00
22 O 0.048 0.238 0.120  0.00
23 O 0.262 0.548 0.120  0.00
24 O 0.794 0.794 0.750  0.00
25 O 0.919 0.750 0.926  0.00
26 O 0.952 0.238 0.620  0.00
27 O 0.206 0.206 0.750  0.00
28 O 0.750 0.419 0.926  0.00
29 O 0.794 0.206 0.250  0.00
30 O 0.452 0.262 0.880  0.00
31 O 0.294 0.294 0.250  0.00
32 O 0.238 0.952 0.880  0.00
33 O 0.081 0.250 0.926  0.00
34 O 0.750 0.081 0.074  0.00
35 O 0.581 0.750 0.074  0.00
36 O 0.238 0.048 0.380  0.00
37 O 0.262 0.452 0.620  0.00
38 O 0.738 0.548 0.620  0.00
39 O 0.548 0.738 0.880  0.00
40 O 0.762 0.952 0.380  0.00
41 O 0.548 0.262 0.380  0.00
42 O 0.952 0.762 0.120  0.00
43 O 0.452 0.738 0.380  0.00
44 O 0.750 0.919 0.574  0.00
45 Mg 0.500 0.500 0.500  0.00
46 Mg 0.500 0.500 0.000  0.00
47 Mg 0.000 0.000 0.000  0.00
48 Mg 0.000 0.000 0.500  0.00
49 Si 0.257 0.322 0.143  0.00
50 Si 0.178 0.757 0.143  0.00
51 Si 0.822 0.757 0.643  0.00
52 Si 0.757 0.178 0.357  0.00
53 Si 0.243 0.178 0.857  0.00
54 Si 0.322 0.257 0.357  0.00
55 Si 0.822 0.243 0.143  0.00
56 Si 0.743 0.678 0.143  0.00
57 Si 0.243 0.822 0.357  0.00
58 Si 0.678 0.743 0.357  0.00
59 Si 0.322 0.743 0.857  0.00
60 Si 0.678 0.257 0.857  0.00
61 Si 0.178 0.243 0.643  0.00
62 Si 0.257 0.678 0.643  0.00
63 Si 0.757 0.822 0.857  0.00
64 Si 0.743 0.322 0.643  0.00

Results
Its uncorrected formation energy is -2483 meV/atom. As for the space-group type: P4/ncc (130). For the total magnetic moment, the calculation gives 0.1 μB per formula unit.



No. 2
A plane-wave DFT calculation with GGA-PBEsol was carried out for a geometry-optimized BaCo2Tc structure.

Lattice parameters (Å, degrees): 2.891 5.014 5.545 116.88 105.11 90.00
Last column: magnetic moment on the atom in μB.
Positions (direct):
1 Co 0.044 0.044 0.087  1.58
2 Co 0.744 0.244 0.489  1.31
3 Tc 0.459 0.459 0.918  0.36
4 Ba 0.253 0.753 0.506  -0.05

Results
As for the space-group type: Imm2 (44). For the total magnetic moment, the calculation gives 3.2 μB per formula unit. The value obtained for the formation energy is 1.057 eV/atom.



No. 3
A plane-wave DFT calculation with GGA-PBEsol was carried out for a geometry-optimized BiPtS3 structure.

Lattice parameters (Å, degrees): 5.072 5.072 5.072 90.00 90.00 90.00
Last column: magnetic moment on the atom in μB.
Positions (direct):
1 S 0.000 0.000 0.500  0.28
2 S 0.500 0.000 0.000  0.28
3 S 0.000 0.500 0.000  0.28
4 Pt 0.500 0.500 0.500  0.95
5 Bi 0.000 0.000 0.000  -0.01

Results
Its uncorrected formation energy is 1353 meV/atom. As for the space-group type: Pm-3m (221). For the total magnetic moment, the calculation gives 2.2 μB per formula unit.



No. 4
A plane-wave DFT calculation with GGA-PBEsol was carried out for a geometry-optimized Li2Ge2O structure.

Lattice parameters (Å, degrees): 3.297 3.297 6.825 103.98 103.98 90.00
Positions (direct):
1 Li 0.750 0.250 0.500
2 Li 0.250 0.750 0.500
3 Ge 0.589 0.589 0.179
4 Ge 0.411 0.411 0.821
5 O 0.000 0.000 0.000

Results
Its uncorrected formation energy is 114 meV/atom. As for the space-group type: I4/mmm (139). For the total magnetic moment, the calculation gives 0.0 μB per formula unit.



No. 5
A plane-wave DFT calculation with GGA-PBEsol was carried out for a geometry-optimized Ca2AsBr structure.

Lattice parameters (Å, degrees): 3.875 3.967 7.772 104.79 104.43 90.00
Positions (direct):
1 Ca 0.813 0.313 0.627
2 Ca 0.023 0.023 0.047
3 As 0.455 0.455 0.910
4 Br 0.208 0.708 0.416

Results
Its uncorrected formation energy is -1335 meV/atom. As for the space-group type: Imm2 (44). For the total magnetic moment, the calculation gives 0.0 μB per formula unit.



No. 6
A plane-wave DFT calculation with GGA-PBEsol was carried out for a geometry-optimized YMg5Cu structure.

Lattice parameters (Å, degrees): 4.208 4.208 9.236 90.00 90.00 90.00
Positions (direct):
1 Mg 0.000 0.500 0.223
2 Mg 0.500 0.000 0.223
3 Mg 0.000 0.500 0.777
4 Mg 0.500 0.000 0.777
5 Mg 0.500 0.500 0.000
6 Y 0.500 0.500 0.500
7 Cu 0.000 0.000 0.000

Results
As for the space-group type: P4/mmm (123). For the total magnetic moment, the calculation gives 0.0 μB per formula unit. The value obtained for the formation energy is 0.183 eV/atom.



No. 7
A plane-wave DFT calculation with GGA-PBEsol was carried out for a geometry-optimized Zr2InNi2 structure.

Lattice parameters (Å, degrees): 3.299 7.117 7.117 90.00 90.00 90.00
Positions (direct):
1 In 0.000 0.000 0.000
2 In 0.000 0.500 0.500
3 Zr 0.500 0.332 0.832
4 Zr 0.500 0.168 0.332
5 Zr 0.500 0.668 0.168
6 Zr 0.500 0.832 0.668
7 Ni 0.000 0.625 0.875
8 Ni 0.000 0.875 0.375
9 Ni 0.000 0.375 0.125
10 Ni 0.000 0.125 0.625

Results
As for the space-group type: P4/mbm (127). For the total magnetic moment, the calculation gives 0.0 μB per formula unit. The value obtained for the formation energy is -0.547 eV/atom.



No. 8
A plane-wave DFT calculation with GGA-PBEsol was carried out for a geometry-optimized AcGa3 structure.

Lattice parameters (Å, degrees): 4.590 6.742 6.742 120.00 90.00 90.00
Positions (direct):
1 Ga 0.750 0.865 0.731
2 Ga 0.750 0.269 0.135
3 Ga 0.250 0.135 0.269
4 Ga 0.250 0.731 0.865
5 Ga 0.250 0.135 0.865
6 Ga 0.750 0.865 0.135
7 Ac 0.250 0.667 0.333
8 Ac 0.750 0.333 0.667

Results
As for the space-group type: P6_3/mmc (194). For the total magnetic moment, the calculation gives 0.0 μB per formula unit. The value obtained for the formation energy is -0.575 eV/atom.



No. 9
A plane-wave DFT calculation with GGA-PBEsol was carried out for a geometry-optimized K2YAgF6 structure.

Lattice parameters (Å, degrees): 6.369 6.369 6.369 60.00 60.00 60.00
Positions (direct):
1 F 0.263 0.263 0.737
2 F 0.737 0.263 0.737
3 F 0.737 0.263 0.263
4 F 0.263 0.737 0.263
5 F 0.737 0.737 0.263
6 F 0.263 0.737 0.737
7 K 0.250 0.250 0.250
8 K 0.750 0.750 0.750
9 Ag 0.000 0.000 0.000
10 Y 0.500 0.500 0.500

Results
Its uncorrected formation energy is -2892 meV/atom. As for the space-group type: Fm-3m (225). For the total magnetic moment, the calculation gives 0.0 μB per formula unit.



No. 10
A plane-wave DFT calculation with GGA-PBEsol was carried out for a geometry-optimized YPbW structure.

Lattice parameters (Å, degrees): 4.883 4.883 4.883 60.00 60.00 60.00
Last column: magnetic moment on the atom in μB.
Positions (direct):
1 Pb 0.000 0.000 0.000  -0.03
2 W 0.500 0.500 0.500  1.97
3 Y 0.250 0.250 0.250  0.32

Results
As for the space-group type: F-43m (216). For the total magnetic moment, the calculation gives 2.8 μB per formula unit. As for the energy relative to the lowest polymorph listed for this composition: 1003 meV/atom. The value obtained for the formation energy is 1.446 eV/atom.



No. 11
A plane-wave DFT calculation with GGA-PBEsol was carried out for a geometry-optimized CsFeBr3 structure.

Lattice parameters (Å, degrees): 6.040 7.517 7.517 120.00 90.00 90.00
Last column: magnetic moment on the atom in μB.
Positions (direct):
1 Cs 0.250 0.667 0.333  0.01
2 Cs 0.750 0.333 0.667  0.01
3 Br 0.750 0.322 0.161  0.11
4 Br 0.750 0.839 0.678  0.11
5 Br 0.250 0.161 0.322  0.11
6 Br 0.250 0.161 0.839  0.11
7 Br 0.250 0.678 0.839  0.11
8 Br 0.750 0.839 0.161  0.11
9 Fe 0.500 0.000 0.000  3.42
10 Fe 0.000 0.000 0.000  3.42

Results
Its uncorrected formation energy is -982 meV/atom. As for the space-group type: P6_3/mmc (194). For the total magnetic moment, the calculation gives 4.0 μB per formula unit.



No. 12
A plane-wave DFT calculation with GGA-PBEsol was carried out for a geometry-optimized SrScCl2 structure.

Lattice parameters (Å, degrees): 3.455 3.455 10.500 90.00 90.00 90.00
Last column: magnetic moment on the atom in μB.
Positions (direct):
1 Sc 0.500 0.500 0.000  0.63
2 Cl 0.000 0.000 0.344  0.00
3 Cl 0.000 0.000 0.656  0.00
4 Sr 0.500 0.500 0.500  0.00

Results
Its uncorrected formation energy is -1087 meV/atom. As for the space-group type: P4/mmm (123). For the total magnetic moment, the calculation gives 0.9 μB per formula unit. As for the energy relative to the lowest polymorph listed for this composition: 196 meV/atom.